BaSrSmVO6 | PBE+U | relaxed

Computed properties:
Total DFT energy (no corrections) = -7.2296 eV/atom

```
BaSrSmVO6
1.0
0.000 4.193 4.193
4.193 0.000 4.193
4.193 4.193 0.000
Ba Sr Sm V O
1 1 1 1 6
Direct
0.250 0.250 0.250
0.750 0.750 0.750
0.000 0.000 0.000
0.500 0.500 0.500
0.272 0.728 0.272
0.728 0.272 0.728
0.272 0.728 0.728
0.728 0.272 0.272
0.272 0.272 0.728
0.728 0.728 0.272
```